*one*
VASP calculation (PBE with a Hubbard U) on a relaxed structure of TiSbW2F.

The calculated density is 5.727 g/cm3. The density of states at the Fermi level is 3.27 states/eV/cell.

Cell lengths 5.498, 5.336, 5.498 Å; angles 90.00, 90.00, 90.00 degrees
Last column: magnetic moment on the atom in μB.
Element x y z (fractional)
F  0.500  0.500  0.500  0.12
Sb  0.000  0.000  0.000  -0.07
Ti  0.000  0.500  0.000  -1.50
W  0.000  0.000  0.500  3.71
W  0.500  0.000  0.000  3.65

=====

*two*
VASP calculation (PBE with a Hubbard U) on a relaxed structure of TiSbW2F.

The calculated density is 10.907 g/cm3. The density of states at the Fermi level is 3.56 states/eV/cell.

Cell lengths 4.433, 4.310, 4.433 Å; angles 90.00, 90.00, 90.00 degrees
Last column: magnetic moment on the atom in μB.
Element x y z (fractional)
F  0.000  0.000  0.000  0.00
Ti  0.000  0.500  0.000  -1.13
W  0.000  0.000  0.500  0.95
Sb  0.500  0.500  0.500  -0.01
W  0.500  0.000  0.000  1.00

=====

Least stable structure among those shown: *one*.